No. 1
{
  "formula": "Pm6RuPb3",
  "functional": "PBE",
  "state": "relaxed",
  "space_group": "R-3, No. 148",
  "e_form_ev_per_atom": -0.2821,
  "lattice_angstrom": [[6.820, 3.937, 4.228], [-6.820, 3.937, 4.228], [0.000, -7.875, 4.228]],
  "species": ["Pm", "Pm", "Pm", "Pm", "Pm", "Pm", "Pm", "Pm", "Pm", "Pm", "Pm", "Pm", "Ru", "Ru", "Pb", "Pb", "Pb", "Pb", "Pb", "Pb"],
  "fractional_positions": [[0.011, 0.688, 0.945], [0.055, 0.989, 0.312], [0.198, 0.425, 0.553], [0.312, 0.055, 0.989], [0.425, 0.553, 0.198], [0.447, 0.802, 0.575], [0.553, 0.198, 0.425], [0.575, 0.447, 0.802], [0.688, 0.945, 0.011], [0.802, 0.575, 0.447], [0.945, 0.011, 0.688], [0.989, 0.312, 0.055], [0.000, 0.000, 0.000], [0.500, 0.500, 0.500], [0.119, 0.651, 0.308], [0.308, 0.119, 0.651], [0.349, 0.692, 0.881], [0.651, 0.308, 0.119], [0.692, 0.881, 0.349], [0.881, 0.349, 0.692]]
}



No. 2
{
  "formula": "PmScRuPb",
  "functional": "PBE",
  "state": "relaxed",
  "space_group": "F-43m, No. 216",
  "e_form_ev_per_atom": -0.2103,
  "lattice_angstrom": [[0.000, 3.576, 3.576], [3.576, 0.000, 3.576], [3.576, 3.576, 0.000]],
  "species": ["Pm", "Sc", "Ru", "Pb"],
  "fractional_positions": [[0.000, 0.000, 0.000], [0.500, 0.500, 0.500], [0.250, 0.250, 0.250], [0.750, 0.750, 0.750]]
}



No. 3
{
  "formula": "PmSmRuPb",
  "functional": "PBE",
  "state": "relaxed",
  "space_group": "F-43m, No. 216",
  "e_form_ev_per_atom": -0.1951,
  "lattice_angstrom": [[0.000, 3.703, 3.703], [3.703, 0.000, 3.703], [3.703, 3.703, 0.000]],
  "species": ["Pm", "Sm", "Ru", "Pb"],
  "fractional_positions": [[0.000, 0.000, 0.000], [0.500, 0.500, 0.500], [0.750, 0.750, 0.750], [0.250, 0.250, 0.250]]
}



No. 4
{
  "formula": "PmPb5S6",
  "functional": "PBE",
  "state": "relaxed",
  "space_group": "C2/m, No. 12",
  "formation_energy_uncorrected_ev_per_fu": -9.3,
  "lattice_angstrom": [[3.648, -6.549, 0.000], [3.648, 6.549, 0.000], [-2.538, 0.000, 6.772]],
  "species": ["Pm", "Pb", "Pb", "Pb", "Pb", "Pb", "S", "S", "S", "S", "S", "S"],
  "fractional_positions": [[0.000, 0.000, 0.000], [0.164, 0.836, 0.500], [0.331, 0.669, 0.000], [0.500, 0.500, 0.500], [0.669, 0.331, 0.000], [0.836, 0.164, 0.500], [0.083, 0.395, 0.240], [0.235, 0.235, 0.755], [0.395, 0.083, 0.240], [0.605, 0.917, 0.760], [0.765, 0.765, 0.245], [0.917, 0.605, 0.760]]
}



No. 5
{
  "formula": "Pm2PbS",
  "functional": "PBE",
  "state": "relaxed",
  "space_group": "R3m, No. 160",
  "de_polymorph_mev_per_atom": 12,
  "formation_energy_uncorrected_ev_per_fu": -5.0,
  "lattice_angstrom": [[1.959, 1.131, 8.342], [-1.959, 1.131, 8.342], [0.000, -2.262, 8.342]],
  "species": ["Pm", "Pm", "Pb", "S"],
  "fractional_positions": [[0.000, 0.000, 0.000], [0.202, 0.202, 0.202], [0.768, 0.768, 0.768], [0.601, 0.601, 0.601]]
}



No. 6
{
  "formula": "Pm4Pb3S8",
  "functional": "PBE",
  "state": "relaxed",
  "space_group": "C2/m, No. 12",
  "formation_energy_uncorrected_ev_per_fu": -20.7,
  "lattice_angstrom": [[5.832, -5.829, 0.000], [5.832, 5.829, 0.000], [-5.766, 0.000, 5.850]],
  "species": ["Pm", "Pm", "Pm", "Pm", "Pb", "Pb", "Pb", "S", "S", "S", "S", "S", "S", "S", "S"],
  "fractional_positions": [[0.000, 0.000, 0.000], [0.000, 0.000, 0.500], [0.000, 0.500, 0.000], [0.500, 0.000, 0.000], [0.000, 0.500, 0.500], [0.500, 0.000, 0.500], [0.500, 0.500, 0.500], [0.234, 0.234, 0.483], [0.240, 0.240, 0.991], [0.245, 0.755, 0.000], [0.245, 0.755, 0.500], [0.755, 0.245, 0.000], [0.755, 0.245, 0.500], [0.760, 0.760, 0.009], [0.766, 0.766, 0.517]]
}



No. 7
{
  "formula": "Pm4PbS3",
  "functional": "PBE",
  "state": "relaxed",
  "space_group": "Pmmm, No. 47",
  "formation_energy_uncorrected_ev_per_fu": -12.8,
  "lattice_angstrom": [[4.131, 0.000, 0.000], [0.000, 5.929, 0.000], [0.000, 0.000, 8.438]],
  "species": ["Pm", "Pm", "Pm", "Pm", "Pb", "S", "S", "S"],
  "fractional_positions": [[0.000, 0.000, 0.000], [0.000, 0.000, 0.500], [0.500, 0.500, 0.229], [0.500, 0.500, 0.771], [0.000, 0.500, 0.500], [0.000, 0.500, 0.000], [0.500, 0.000, 0.244], [0.500, 0.000, 0.756]]
}



No. 8
{
  "formula": "PmPbS2",
  "functional": "PBE",
  "state": "relaxed",
  "space_group": "R3m, No. 160",
  "formation_energy_uncorrected_ev_per_fu": -4.7,
  "lattice_angstrom": [[1.954, 1.128, 7.871], [-1.954, 1.128, 7.871], [0.000, -2.257, 7.871]],
  "species": ["Pm", "Pb", "S", "S"],
  "fractional_positions": [[0.000, 0.000, 0.000], [0.834, 0.834, 0.834], [0.262, 0.262, 0.262], [0.408, 0.408, 0.408]]
}



No. 9
{
  "formula": "Pm3Pb5S12",
  "functional": "PBE",
  "state": "relaxed",
  "space_group": "Ia-3d, No. 230",
  "formation_energy_uncorrected_ev_per_fu": -16.4,
  "lattice_angstrom": [[-8.210, 8.210, 8.210], [8.210, -8.210, 8.210], [8.210, 8.210, -8.210]],
  "species": ["Pm", "Pm", "Pm", "Pm", "Pm", "Pm", "Pm", "Pm", "Pm", "Pm", "Pm", "Pm", "Pb", "Pb", "Pb", "Pb", "Pb", "Pb", "Pb", "Pb", "Pb", "Pb", "Pb", "Pb", "Pb", "Pb", "Pb", "Pb", "Pb", "Pb", "Pb", "Pb", "S", "S", "S", "S", "S", "S", "S", "S", "S", "S", "S", "S", "S", "S", "S", "S", "S", "S", "S", "S", "S", "S", "S", "S", "S", "S", "S", "S", "S", "S", "S", "S", "S", "S", "S", "S", "S", "S", "S", "S", "S", "S", "S", "S", "S", "S", "S", "S"],
  "fractional_positions": [[0.125, 0.250, 0.375], [0.125, 0.375, 0.750], [0.250, 0.375, 0.125], [0.250, 0.875, 0.625], [0.375, 0.125, 0.250], [0.375, 0.750, 0.125], [0.625, 0.250, 0.875], [0.625, 0.875, 0.750], [0.750, 0.125, 0.375], [0.750, 0.625, 0.875], [0.875, 0.625, 0.250], [0.875, 0.750, 0.625], [0.000, 0.000, 0.000], [0.000, 0.000, 0.500], [0.000, 0.500, 0.000], [0.000, 0.500, 0.500], [0.125, 0.750, 0.875], [0.125, 0.875, 0.250], [0.250, 0.125, 0.875], [0.250, 0.625, 0.375], [0.375, 0.250, 0.625], [0.375, 0.625, 0.750], [0.500, 0.000, 0.000], [0.500, 0.000, 0.500], [0.500, 0.500, 0.000], [0.500, 0.500, 0.500], [0.625, 0.375, 0.250], [0.625, 0.750, 0.375], [0.750, 0.375, 0.625], [0.750, 0.875, 0.125], [0.875, 0.125, 0.750], [0.875, 0.250, 0.125], [0.054, 0.228, 0.141], [0.054, 0.327, 0.913], [0.086, 0.728, 0.673], [0.086, 0.859, 0.413], [0.087, 0.641, 0.414], [0.087, 0.946, 0.673], [0.141, 0.054, 0.228], [0.141, 0.587, 0.914], [0.173, 0.228, 0.586], [0.173, 0.446, 0.587], [0.228, 0.141, 0.054], [0.228, 0.586, 0.173], [0.272, 0.327, 0.914], [0.272, 0.446, 0.359], [0.327, 0.913, 0.054], [0.327, 0.914, 0.272], [0.359, 0.272, 0.446], [0.359, 0.586, 0.913], [0.413, 0.086, 0.859], [0.413, 0.827, 0.554], [0.414, 0.087, 0.641], [0.414, 0.827, 0.772], [0.446, 0.359, 0.272], [0.446, 0.587, 0.173], [0.554, 0.413, 0.827], [0.554, 0.641, 0.728], [0.586, 0.173, 0.228], [0.586, 0.913, 0.359], [0.587, 0.173, 0.446], [0.587, 0.914, 0.141], [0.641, 0.414, 0.087], [0.641, 0.728, 0.554], [0.673, 0.086, 0.728], [0.673, 0.087, 0.946], [0.728, 0.554, 0.641], [0.728, 0.673, 0.086], [0.772, 0.414, 0.827], [0.772, 0.859, 0.946], [0.827, 0.554, 0.413], [0.827, 0.772, 0.414], [0.859, 0.413, 0.086], [0.859, 0.946, 0.772], [0.913, 0.054, 0.327], [0.913, 0.359, 0.586], [0.914, 0.141, 0.587], [0.914, 0.272, 0.327], [0.946, 0.673, 0.087], [0.946, 0.772, 0.859]]
}



No. 10
{
  "formula": "Pm5PbS4",
  "functional": "PBE",
  "state": "relaxed",
  "space_group": "C2/m, No. 12",
  "formation_energy_uncorrected_ev_per_fu": -16.9,
  "lattice_angstrom": [[6.831, -2.068, 0.000], [6.831, 2.068, 0.000], [-4.998, 0.000, 8.904]],
  "species": ["Pm", "Pm", "Pm", "Pm", "Pm", "Pb", "S", "S", "S", "S"],
  "fractional_positions": [[0.000, 0.000, 0.000], [0.205, 0.205, 0.817], [0.390, 0.390, 0.612], [0.610, 0.610, 0.388], [0.795, 0.795, 0.183], [0.000, 0.000, 0.500], [0.203, 0.203, 0.290], [0.405, 0.405, 0.102], [0.595, 0.595, 0.898], [0.797, 0.797, 0.710]]
}



No. 11
{
  "formula": "Pm4Pb2S",
  "functional": "PBE",
  "state": "relaxed",
  "space_group": "P2_1/m, No. 11",
  "de_polymorph_mev_per_atom": 18,
  "formation_energy_uncorrected_ev_per_fu": -5.4,
  "lattice_angstrom": [[6.907, 0.000, 0.000], [0.000, 6.885, 0.000], [-3.382, 0.000, 9.127]],
  "species": ["Pm", "Pm", "Pm", "Pm", "Pm", "Pm", "Pm", "Pm", "Pb", "Pb", "Pb", "Pb", "S", "S"],
  "fractional_positions": [[0.004, 0.002, 0.250], [0.004, 0.498, 0.250], [0.421, 0.250, 0.583], [0.424, 0.250, 0.126], [0.576, 0.750, 0.874], [0.579, 0.750, 0.417], [0.996, 0.502, 0.750], [0.996, 0.998, 0.750], [0.200, 0.750, 0.049], [0.208, 0.750, 0.552], [0.792, 0.250, 0.448], [0.800, 0.250, 0.951], [0.326, 0.250, 0.831], [0.674, 0.750, 0.169]]
}



No. 12
{
  "formula": "PmPbS2",
  "functional": "PBE",
  "state": "relaxed",
  "space_group": "Pnma, No. 62",
  "formation_energy_uncorrected_ev_per_fu": -4.7,
  "lattice_angstrom": [[5.592, 0.000, 0.000], [0.000, 4.399, 0.000], [0.000, 0.000, 20.593]],
  "species": ["Pm", "Pm", "Pm", "Pm", "Pb", "Pb", "Pb", "Pb", "S", "S", "S", "S", "S", "S", "S", "S"],
  "fractional_positions": [[0.090, 0.250, 0.177], [0.410, 0.750, 0.677], [0.590, 0.250, 0.323], [0.910, 0.750, 0.823], [0.058, 0.750, 0.440], [0.442, 0.250, 0.940], [0.558, 0.750, 0.060], [0.942, 0.250, 0.560], [0.078, 0.750, 0.100], [0.089, 0.250, 0.310], [0.411, 0.750, 0.810], [0.422, 0.250, 0.600], [0.578, 0.750, 0.400], [0.589, 0.250, 0.190], [0.911, 0.750, 0.690], [0.922, 0.250, 0.900]]
}



DFT total energy
In order: -5.173; -6.227; -5.809; -4.782; -5.573; -5.588; -5.981; -5.352; -4.939; -6.088; -5.136; -5.358
Unit: eV per atom